Entry from Alexandria via LeMat-Bulk: B2C after structural relaxation (PBE).

Output
SG = No. 6
E_tot = -84.6 eV per cell

Cell lengths 2.684, 4.514, 7.173 Å; angles 86.15, 90.00, 90.00 degrees
Element x y z (fractional)
B 0.500 0.467 0.005
C 0.500 0.833 0.585
C 0.000 0.045 0.001
C 0.500 0.149 0.660
B 0.500 0.132 0.885
B 0.500 0.843 0.364
C 0.000 0.308 0.586
B 0.000 0.341 0.367
B 0.500 0.525 0.233
B 0.000 0.702 0.988
B 0.000 0.655 0.608
B 0.000 0.000 0.218